Ba2SrNiHg | GGA-PBE | optimized geometry

Cell lengths 6.0047, 6.0047, 5.7771 Å; angles 90.00, 90.00, 90.00 degrees
Last column: nearest neighbours and their distance in Å.
Positions (direct):
Sr 0.0000 0.0000 0.5000  2 Ni 2.89
Ni 0.0000 0.0000 0.0000  2 Sr 2.89, 4 Ba 3.00
Hg 0.5000 0.5000 0.5000  8 Ba 4.17, 4 Sr 4.25
Ba 0.0000 0.5000 0.0000  2 Ni 3.00
Ba 0.5000 0.0000 0.0000  2 Ni 3.00

As for the crystal system: tetragonal. The value obtained for the formation energy is -0.409 eV/f.u. The value obtained for the total moment is 0.0 Bohr magnetons per cell. For the final energy, the calculation gives -2.404 eV/atom. The calculation puts the volume at 41.7 A^3/atom. The calculation puts the excess energy over the best structure of this formula in the dataset at 0.0 kJ/mol of formula units.